VASP calculation (PBE) on LaEr2PuS4 after structural relaxation.

CIF file:
```
data_LaEr2PuS4
_chemical_formula_sum 'La1 Er2 Pu1 S4'
_symmetry_space_group_name_H-M 'P 1'
_symmetry_Int_Tables_number 1
_symmetry_space_group_name_Hall 'P 1'
_cell_length_a 3.9325
_cell_length_b 6.8504
_cell_length_c 6.9185
_cell_angle_alpha 109.04
_cell_angle_beta 90.00
_cell_angle_gamma 90.00
loop_
_atom_site_label
_atom_site_fract_x
_atom_site_fract_y
_atom_site_fract_z
La1 0.0000 0.0000 0.0000
Er1 0.5000 0.0000 0.5000
Er2 0.0000 0.5000 0.5000
Pu1 0.5000 0.5000 0.0000
S1 0.5000 0.2619 0.2686
S2 0.5000 0.7381 0.7314
S3 0.0000 0.2512 0.7365
S4 0.0000 0.7488 0.2635
```

## Properties
- formation energy from raw total energies (eV per atom) = -1.97
- mass density (g/cm³) = 7.971
- DFT total energy (eV/atom) = -7.59